Record 1
Entry from the Alexandria database: a geometry-optimized Zn12Ga6Au structure (GGA-PBE).

The calculated volume comes out at 334.14 Å³ per cell. For the energy above the most stable polymorph in this dataset, the calculation gives 8 meV per atom. For the energy relative to the elements, the calculation gives 0.98 eV/f.u. The space group is R-3, No. 148. The total energy is -1.88 eV per atom.

extended XYZ file:
```
19
Lattice="5.2803 3.0486 3.4595 -5.2803 3.0486 3.4595 0.0000 -6.0972 3.4595" Properties=species:S:1:pos:R:3 pbc="T T T"
Zn -4.0638 -1.7597 5.0459
Zn -1.5036 -1.5713 4.4304
Zn -0.5080 -4.3992 5.3327
Zn -3.5559 2.6395 5.3327
Zn -2.1126 0.5165 5.9481
Zn -0.6090 2.0878 4.4304
Zn 0.6090 -2.0878 5.9481
Zn 2.1126 -0.5165 4.4304
Zn 3.5559 -2.6395 5.0459
Zn 0.5080 4.3993 5.0459
Zn 1.5036 1.5713 5.9481
Zn 4.0638 1.7597 5.3327
Ga -2.6677 0.8783 3.2643
Ga 0.5733 -2.7495 3.2643
Ga -2.0945 -1.8712 7.1143
Ga 2.0945 1.8712 3.2643
Ga -0.5733 2.7495 7.1143
Ga 2.6677 -0.8783 7.1143
Au 0.0000 0.0000 0.0000
```


Record 2
Entry from the Alexandria database: a geometry-optimized AcLa9Ho4 structure (GGA-PBE).

The calculated volume comes out at 1030.54 Å³ per cell. For the energy relative to the elements, the calculation gives 2.18 eV/f.u. The space group is P6_3/mmc, No. 194. The total energy is -4.61 eV per atom.

extended XYZ file:
```
28
Lattice="10.0834 0.0000 0.0000 -5.0417 8.7325 0.0000 0.0000 0.0000 11.7036" Properties=species:S:1:pos:R:3 pbc="T T T"
Ac 0.0000 5.8217 2.9259
Ac 5.0417 2.9108 8.7777
La -1.8589 4.7484 8.7777
La 0.0000 3.5631 0.2837
La 0.0000 3.5631 5.5681
La -1.9560 6.9509 0.2837
La -1.9560 6.9509 5.5681
La 3.0858 1.7816 6.1355
La 3.0858 1.7816 11.4198
La 1.8589 4.7484 8.7777
La 0.0000 7.9682 8.7777
La 5.0417 0.7643 2.9259
La 3.1828 3.9841 2.9259
La 1.9559 6.9509 0.2837
La 1.9559 6.9509 5.5681
La 6.9977 1.7816 6.1355
La 6.9977 1.7816 11.4198
La 5.0417 5.1694 6.1355
La 5.0417 5.1694 11.4198
La 6.9007 3.9841 2.9259
Ho 0.0000 0.0000 0.0000
Ho 0.0000 0.0000 5.8518
Ho 0.0000 1.9096 8.7777
Ho -3.3879 7.7777 8.7777
Ho 1.6538 0.9548 2.9259
Ho 3.3879 7.7777 8.7777
Ho 8.4297 0.9548 2.9259
Ho 5.0417 6.8229 2.9259
```


Record 3
Entry from the Alexandria database: a geometry-optimized Dy3Si3Pd structure (GGA-PBE).

The formation energy from raw total energies is -0.907 eV/atom. The calculated volume comes out at 286.80 Å³ per cell. The space group is C2/m, No. 12. The total energy is -5.95 eV per atom.

extended XYZ file:
```
14
Lattice="5.2612 -2.1285 0.0000 5.2612 2.1285 0.0000 -4.7181 0.0000 12.8055" Properties=species:S:1:pos:R:3 pbc="T T T"
Dy -1.4947 0.0000 4.8223
Dy -3.2617 0.0000 11.8203
Dy 1.4857 0.0000 2.8920
Dy 4.3187 0.0000 9.9134
Dy 9.0660 0.0000 0.9851
Dy 7.2991 0.0000 7.9832
Si 1.8239 0.0000 5.8240
Si -0.2783 0.0000 11.8444
Si 1.2354 0.0000 9.8635
Si 4.5689 0.0000 2.9419
Si 6.0827 0.0000 0.9610
Si 3.9805 0.0000 6.9815
Pd -0.1305 0.0000 7.6427
Pd 5.9349 0.0000 5.1628
```


Record 4
Entry from the Alexandria database: a geometry-optimized Sm2PuIr structure (GGA-PBE).

The calculated volume comes out at 131.64 Å³ per cell. For the energy relative to the elements, the calculation gives 0.16 eV/f.u. The space group is R-3m, No. 166. The total energy is -8.12 eV per atom.

extended XYZ file:
```
4
Lattice="1.9061 1.1005 10.4593 -1.9061 1.1005 10.4593 0.0000 -2.2010 10.4593" Properties=species:S:1:pos:R:3 pbc="T T T"
Sm 0.0000 0.0000 3.5232
Sm 0.0000 0.0000 27.8547
Pu 0.0000 0.0000 0.0000
Ir 0.0000 0.0000 15.6889
```


Record 5
Entry from the Alexandria database: a geometry-optimized La3HfAs structure (GGA-PBE).

The calculated volume comes out at 184.16 Å³ per cell. For the energy above the most stable polymorph in this dataset, the calculation gives 0 meV per atom. For the energy relative to the elements, the calculation gives 0.13 eV/f.u. The space group is Pm-3m, No. 221. The total energy is -5.85 eV per atom.

extended XYZ file:
```
5
Lattice="5.6893 0.0000 0.0000 0.0000 5.6893 0.0000 0.0000 0.0000 5.6893" Properties=species:S:1:pos:R:3 pbc="T T T"
La 0.0000 0.0000 2.8447
La 0.0000 2.8447 0.0000
La 2.8447 0.0000 0.0000
Hf 2.8447 2.8447 2.8447
As 0.0000 0.0000 0.0000
```


Record 6
Entry from the Alexandria database: a geometry-optimized K2BePb structure (GGA-PBE).

The calculated volume comes out at 142.44 Å³ per cell. For the energy above the most stable polymorph in this dataset, the calculation gives 444 meV per atom. For the energy relative to the elements, the calculation gives 2.44 eV/f.u. The space group is P4/mmm, No. 123. The total energy is -1.80 eV per atom.

extended XYZ file:
```
4
Lattice="6.3496 0.0000 0.0000 0.0000 6.3496 0.0000 0.0000 0.0000 3.5331" Properties=species:S:1:pos:R:3 pbc="T T T"
K 0.0000 3.1748 0.0000
K 3.1748 0.0000 0.0000
Be 0.0000 0.0000 1.7665
Pb 3.1748 3.1748 1.7665
```


Record 7
Entry from the Alexandria database: a geometry-optimized LiTaBe structure (GGA-PBE).

The calculated volume comes out at 75.06 Å³ per cell. For the energy above the most stable polymorph in this dataset, the calculation gives 411 meV per atom. For the energy relative to the elements, the calculation gives 1.62 eV/f.u. The space group is Cmcm, No. 63. The total energy is -5.29 eV per atom.

extended XYZ file:
```
6
Lattice="2.1010 -3.5211 0.0000 2.1010 3.5211 0.0000 0.0000 0.0000 5.0729" Properties=species:S:1:pos:R:3 pbc="T T T"
Li 2.1010 2.2331 3.8047
Li 2.1010 -2.2331 1.2682
Ta 2.1010 2.4235 1.2682
Ta 2.1010 -2.4235 3.8047
Be 2.1010 0.0000 0.0000
Be 2.1010 0.0000 2.5365
```


Record 8
Entry from the Alexandria database: a geometry-optimized NpZnCu structure (GGA-PBE).

The calculated volume comes out at 46.48 Å³ per cell. For the energy relative to the elements, the calculation gives 0.36 eV/f.u. The space group is I4mm, No. 107. The total energy is -5.98 eV per atom.

extended XYZ file:
```
3
Lattice="-1.3175 1.3175 6.6946 1.3175 -1.3175 6.6946 1.3175 1.3175 -6.6946" Properties=species:S:1:pos:R:3 pbc="T T T"
Np 0.0000 0.0000 0.0000
Zn 0.0000 0.0000 4.1859
Cu 0.0000 0.0000 9.0826
```